[1]
! HoSiNi, relaxed, DFT PBE; values from VASP
! Size of the total moment ... 0.00 Bohr magnetons per cell
! Uncorrected energy ... -6.019 eV per atom
&SYSTEM
  ibrav = 0, nat = 12, ntyp = 3
/
ATOMIC_SPECIES
Ho 164.93 Ho.upf
Si 28.09 Si.upf
Ni 58.69 Ni.upf
ATOMIC_POSITIONS crystal
Ho 0.010 0.250 0.201
Ho 0.490 0.750 0.701
Ho 0.510 0.250 0.299
Ho 0.990 0.750 0.799
Si 0.191 0.250 0.588
Si 0.309 0.750 0.088
Si 0.691 0.250 0.912
Si 0.809 0.750 0.412
Ni 0.188 0.750 0.417
Ni 0.312 0.250 0.917
Ni 0.688 0.750 0.083
Ni 0.812 0.250 0.583
CELL_PARAMETERS angstrom
6.830 0.000 0.000
0.000 4.147 0.000
0.000 0.000 7.121

[2]
! BaPrCuSe2S, relaxed, DFT PBE; values from VASP
! Size of the total moment ... 0.01 Bohr magnetons per cell
! Uncorrected energy ... -5.194 eV per atom
&SYSTEM
  ibrav = 0, nat = 12, ntyp = 5
/
ATOMIC_SPECIES
Ba 137.33 Ba.upf
Pr 140.91 Pr.upf
Cu 63.55 Cu.upf
Se 78.96 Se.upf
S 32.06 S.upf
ATOMIC_POSITIONS crystal
Ba 0.236 0.764 0.750
Ba 0.764 0.236 0.250
Pr 0.500 0.500 0.000
Pr 0.500 0.500 0.500
Cu 0.029 0.971 0.250
Cu 0.971 0.029 0.750
Se 0.140 0.860 0.069
Se 0.140 0.860 0.431
Se 0.860 0.140 0.569
Se 0.860 0.140 0.931
S 0.435 0.565 0.250
S 0.565 0.435 0.750
CELL_PARAMETERS angstrom
2.100 -7.033 0.000
2.100 7.033 0.000
0.000 0.000 10.744

[3]
! PaGeAs, relaxed, DFT PBE; values from VASP
! Size of the total moment ... 0.01 Bohr magnetons per cell
! Uncorrected energy ... -7.029 eV per atom
&SYSTEM
  ibrav = 0, nat = 6, ntyp = 3
/
ATOMIC_SPECIES
Pa 231.04 Pa.upf
Ge 72.64 Ge.upf
As 74.92 As.upf
ATOMIC_POSITIONS crystal
Pa 0.140 0.140 0.000
Pa 0.860 0.860 0.000
Ge 0.000 0.500 0.500
Ge 0.500 0.000 0.500
As 0.322 0.322 0.000
As 0.678 0.678 0.000
CELL_PARAMETERS angstrom
-2.014 2.014 8.061
2.014 -2.014 8.061
2.014 2.014 -8.061

[4]
! Cs2AlHgI6, relaxed, DFT PBE; values from VASP
! Uncorrected energy ... -2.379 eV per atom
&SYSTEM
  ibrav = 0, nat = 10, ntyp = 4
/
ATOMIC_SPECIES
Cs 132.91 Cs.upf
Al 26.98 Al.upf
Hg 200.59 Hg.upf
I 126.90 I.upf
ATOMIC_POSITIONS crystal
Cs 0.250 0.250 0.250
Cs 0.750 0.750 0.750
Al 0.000 0.000 0.000
Hg 0.500 0.500 0.500
I 0.212 0.256 0.768
I 0.232 0.788 0.744
I 0.256 0.768 0.212
I 0.744 0.232 0.788
I 0.768 0.212 0.256
I 0.788 0.744 0.232
CELL_PARAMETERS angstrom
4.254 2.456 6.864
-4.254 2.456 6.864
0.000 -4.912 6.864

[5]
! Li2Sn2Hg, relaxed, DFT PBE; values from VASP
! Uncorrected energy ... -2.622 eV per atom
&SYSTEM
  ibrav = 0, nat = 10, ntyp = 3
/
ATOMIC_SPECIES
Li 6.94 Li.upf
Sn 118.71 Sn.upf
Hg 200.59 Hg.upf
ATOMIC_POSITIONS crystal
Li 0.138 0.144 0.000
Li 0.362 0.644 0.000
Li 0.638 0.356 0.000
Li 0.862 0.856 0.000
Sn 0.168 0.847 0.500
Sn 0.332 0.347 0.500
Sn 0.668 0.653 0.500
Sn 0.832 0.153 0.500
Hg 0.000 0.500 0.000
Hg 0.500 0.000 0.000
CELL_PARAMETERS angstrom
6.868 0.000 0.000
0.000 7.091 0.000
0.000 0.000 4.298

[6]
! SmYPa, relaxed, DFT PBE; values from VASP
! Size of the total moment ... 2.66 Bohr magnetons per cell
! Uncorrected energy ... -5.791 eV per atom
! E above lowest polymorph ... 0 meV/atom
&SYSTEM
  ibrav = 0, nat = 3, ntyp = 3
/
ATOMIC_SPECIES
Sm 150.36 Sm.upf
Y 88.91 Y.upf
Pa 231.04 Pa.upf
ATOMIC_POSITIONS crystal
Sm 0.000 0.000 0.000
Y 0.250 0.250 0.250
Pa 0.750 0.750 0.750
CELL_PARAMETERS angstrom
0.000 3.725 3.725
3.725 0.000 3.725
3.725 3.725 0.000